{
  "formula": "Li6V5O12",
  "functional": "PBEsol",
  "state": "relaxed",
  "energy_ev_per_atom": -7.65,
  "sg": "C2 (5)",
  "rho_g_cm3": 4.1,
  "formation_energy_uncorrected_ev_per_atom": -2.30,
  "vol_a3_per_atom": 8.5,
  "lattice": [[-1.402, 1.141, 4.547], [0.287, -4.750, -1.139], [9.111, 0.835, 1.840]],
  "species": ["Li", "Li", "Li", "Li", "Li", "Li", "V", "V", "V", "V", "V", "O", "O", "O", "O", "O", "O", "O", "O", "O", "O", "O", "O"],
  "fractional_positions": [[0.755, 0.244, 0.250], [0.846, 0.658, 0.496], [0.672, 0.854, 0.005], [0.341, 0.154, 0.004], [0.146, 0.328, 0.495], [0.077, 0.923, 0.250], [0.929, 0.071, 0.750], [0.568, 0.433, 0.750], [0.425, 0.575, 0.250], [0.489, 0.997, 0.489], [0.003, 0.511, 0.011], [0.830, 0.331, 0.624], [0.669, 0.170, 0.876], [0.932, 0.773, 0.873], [0.714, 0.541, 0.126], [0.763, 0.937, 0.373], [0.459, 0.286, 0.374], [0.569, 0.733, 0.628], [0.228, 0.068, 0.627], [0.267, 0.432, 0.872], [0.361, 0.844, 0.122], [0.063, 0.236, 0.127], [0.156, 0.639, 0.378]]
}